## TbNd5HoEr2 (PBE)

Data for an optimized crystal structure of TbNd5HoEr2.

- M_tot: 0.0 Bohr magnetons per cell
- Symmetry: No. 36
- Calculated formation energy: 145 meV per atom
- Total energy: -4.54 eV/atom
- Crystal system: orthorhombic
- D(E_F): 28.8 states/eV per cell

a = 10.5798 Å, b = 10.5798 Å, c = 10.7109 Å
α = 90.00°, β = 90.00°, γ = 149.06°
Positions (direct):
Tb1 0.1990 0.8010 0.5000
Tb2 0.8010 0.1990 0.0000
Nd1 0.0160 0.9840 0.5076
Nd2 0.2802 0.7198 0.8012
Nd3 0.2972 0.7028 0.1957
Nd4 0.3861 0.6139 0.5115
Nd5 0.4825 0.5175 0.2329
Nd6 0.5175 0.4825 0.7329
Nd7 0.6139 0.3861 0.0115
Nd8 0.7028 0.2972 0.6957
Nd9 0.7198 0.2802 0.3012
Nd10 0.9840 0.0160 0.0076
Ho1 0.4087 0.5913 0.9511
Ho2 0.5913 0.4087 0.4511
Er1 0.1118 0.8882 0.2289
Er2 0.1147 0.8853 0.7998
Er3 0.8853 0.1147 0.2998
Er4 0.8882 0.1118 0.7289